This record from Alexandria via LeMat-Bulk describes a relaxed SrU2F8 crystal. The functional is PBE-GGA.

Computed properties:
Its space-group type is C2/m (12).

abc: 7.634 7.634 5.887
angles: 109.55 109.55 30.05
Element x y z (fractional)
Sr 0.000 0.000 0.000
U 0.326 0.326 0.319
U 0.674 0.674 0.681
F 0.101 0.101 0.451
F 0.174 0.174 0.957
F 0.289 0.289 0.688
F 0.467 0.467 0.214
F 0.533 0.533 0.786
F 0.711 0.711 0.312
F 0.826 0.826 0.043
F 0.899 0.899 0.549

=====

This record from Alexandria via LeMat-Bulk describes a relaxed SrUF6 crystal. The functional is PBE-GGA.

Computed properties:
Its space-group type is C2/m (12).

abc: 7.554 6.487 6.135
angles: 90.00 109.92 90.00
Element x y z (fractional)
Sr 0.000 0.000 0.000
Sr 0.500 0.500 0.000
U 0.000 0.500 0.500
U 0.500 0.000 0.500
F 0.091 0.285 0.797
F 0.091 0.715 0.797
F 0.201 0.000 0.439
F 0.299 0.500 0.561
F 0.409 0.215 0.203
F 0.409 0.785 0.203
F 0.591 0.215 0.797
F 0.591 0.785 0.797
F 0.701 0.500 0.439
F 0.799 0.000 0.561
F 0.909 0.285 0.203
F 0.909 0.715 0.203

=====

| no. | formation energy (no corrections) (eV/f.u.) |
| --- | --- |
| 1 | -38.9 |
| 2 | -29.5 |